5
Lattice="4.3520 0.0000 0.0000 0.0000 4.3520 0.0000 0.0000 0.0000 5.2144" Properties=species:S:1:pos:R:3 comment="CaPbNF2 (PBE, optimized geometry)" polymorph_energy_mev_per_atom=0.0 sg=P4/mmm dos_ef_per_ev_cell=1.8 formation_energy_uncorrected_ev_per_atom=-1.445 m_tot_mub_per_fu=1.0 pbc="T T T"
F 0.0000 2.1760 0.0000
Ca 0.0000 0.0000 0.0000
N 0.0000 0.0000 2.6072
Pb 2.1760 2.1760 2.6072
F 2.1760 0.0000 0.0000